(1)
Density functional theory data (PBE) for a geometry-optimized LaCuTc2 structure.

Properties
distance to the lowest polymorph of the same formula	9.86	kcal/mol of atoms
energy of formation	0.482	eV per atom

Cell lengths 5.4911, 5.4911, 3.0424 Å; angles 103.61, 103.61, 119.99 degrees
With the nearest neighbours (Å) after each atom.
Fractional coordinates of all 4 atoms:
La (0.0000, 0.0000, 0.0000)  4 Cu 2.75-2.99, 4 Tc 2.81, 2 La 3.04
Cu (0.5000, 0.5000, 0.0000)  4 La 2.75-2.99, 4 Tc 2.81, 2 Cu 3.04
Tc (0.0000, 0.5000, 0.5000)  6 Tc 2.75-3.04, 2 La 2.81, 2 Cu 2.81
Tc (0.5000, 0.0000, 0.5000)  6 Tc 2.75-3.04, 2 La 2.81, 2 Cu 2.81



(2)
Density functional theory data (PBE) for a geometry-optimized TaTiTc4 structure.

Properties
energy of formation	-0.131	eV per atom

Cell lengths 5.1422, 5.1422, 5.1422 Å; angles 60.00, 60.00, 60.00 degrees
With the nearest neighbours (Å) after each atom.
Fractional coordinates of all 6 atoms:
Ta (0.0000, 0.0000, 0.0000)  12 Tc 3.02, 4 Ti 3.15
Ti (0.2500, 0.2500, 0.2500)  12 Tc 3.01, 4 Ta 3.15
Tc (0.1257, 0.6248, 0.6248)  6 Tc 2.57-2.58
Tc (0.6248, 0.1257, 0.6248)  6 Tc 2.57-2.58
Tc (0.6248, 0.6248, 0.1257)  6 Tc 2.57-2.58
Tc (0.6248, 0.6248, 0.6248)  6 Tc 2.57-2.58



(3)
Density functional theory data (PBE) for a geometry-optimized TeAs5 structure.

Properties
distance to the lowest polymorph of the same formula	5.84	kcal/mol of atoms
formation energy (no corrections)	0.380	eV per atom

Cell lengths 3.3936, 3.3936, 11.5839 Å; angles 90.00, 90.00, 90.00 degrees
With the nearest neighbours (Å) after each atom.
Fractional coordinates of all 6 atoms:
Te (0.0000, 0.0000, 0.0000)  4 Te 3.39, 8 As 3.64
As (0.0000, 0.0000, 0.3379)  4 As 2.67
As (0.0000, 0.0000, 0.6621)  4 As 2.67
As (0.5000, 0.5000, 0.2368)  4 As 2.67
As (0.5000, 0.5000, 0.5000)  14 As 3.05-3.39
As (0.5000, 0.5000, 0.7632)  4 As 2.67



(4)
Density functional theory data (PBE) for a geometry-optimized Mg2AlGaTe structure.

Properties
formation energy (no corrections)	0.328	eV per atom

Cell lengths 5.1424, 5.1424, 5.7434 Å; angles 90.00, 90.00, 90.00 degrees
With the nearest neighbours (Å) after each atom.
Fractional coordinates of all 5 atoms:
Mg (0.0000, 0.5000, 0.0000)  2 Al 2.57
Mg (0.5000, 0.0000, 0.0000)  2 Al 2.57
Al (0.0000, 0.0000, 0.0000)  4 Mg 2.57, 2 Te 2.87
Ga (0.5000, 0.5000, 0.5000)  4 Te 3.64, 8 Mg 3.85
Te (0.0000, 0.0000, 0.5000)  2 Al 2.87



| no. | total moment (μB/f.u.) |
| --- | --- |
| 1 | 0.000 |
| 2 | 0.000 |
| 3 | 0.000 |
| 4 | 0.000 |